(1)
BeCd2Br GGA-PBE optimized geometry; formation energy (no corrections) = 0.1498 eV/atom; total moment = 0.00 μB/cell; symmetry = Imm2 (44); raw total energy = -1.66 eV/atom; volume = 23.651 Å³/atom
1.0
-3.192 -4.351 -2.605
-0.960 -4.420 3.930
-0.945 5.650 -1.757
Be Br Cd
1 1 2
direct
0.488 0.488 0.000
0.330 0.830 0.500
0.982 0.982 0.000
0.699 0.199 0.500

---

(2)
Ba2SrHo3O8 GGA-PBE optimized geometry; formation energy (no corrections) = -2.9593 eV/atom; total moment = 1.08 μB/cell; symmetry = R3m (160); raw total energy = -7.17 eV/atom; volume = 18.795 Å³/atom
1.0
7.040 0.000 0.000
3.520 6.096 0.000
3.520 2.032 6.131
Ba Sr Ho O
2 1 3 8
direct
0.124 0.124 0.628
0.500 0.500 0.501
0.880 0.880 0.360
0.499 0.998 0.003
0.998 0.499 0.003
0.499 0.499 0.003
0.269 0.269 0.193
0.733 0.733 0.802
0.249 0.249 0.808
0.693 0.249 0.808
0.249 0.693 0.808
0.752 0.295 0.202
0.295 0.752 0.202
0.752 0.752 0.202

---

Q: Which formula does entry 2 have?
A: Ba2SrHo3O8